## MnFe2Mo (PBE)

Data for an optimized crystal structure of MnFe2Mo.

a = 4.130 Å, b = 4.130 Å, c = 4.130 Å
α = 60.00°, β = 60.00°, γ = 60.00°
Positions (direct):
Mn1 0.000 0.000 0.000
Fe1 0.250 0.250 0.250
Fe2 0.750 0.750 0.750
Mo1 0.500 0.500 0.500

Results
energy relative to the elements	72	meV per atom
total moment	5.1	μB per formula unit
energy relative to the lowest polymorph listed for this composition	0.06	eV per formula unit
ρ	8.752	g/cm³

***

## MnFeMo (PBE)

Data for an optimized crystal structure of MnFeMo.

a = 11.884 Å, b = 11.884 Å, c = 11.884 Å
α = 22.87°, β = 22.87°, γ = 22.87°
Positions (direct):
Mn1 0.000 0.000 0.000
Mn2 0.000 0.000 0.500
Mn3 0.000 0.500 0.000
Mn4 0.110 0.110 0.110
Mn5 0.500 0.000 0.000
Mn6 0.890 0.890 0.890
Fe1 0.228 0.228 0.711
Fe2 0.228 0.711 0.228
Fe3 0.289 0.772 0.772
Fe4 0.711 0.228 0.228
Fe5 0.772 0.289 0.772
Fe6 0.772 0.772 0.289
Mo1 0.237 0.237 0.237
Mo2 0.318 0.318 0.318
Mo3 0.459 0.459 0.459
Mo4 0.541 0.541 0.541
Mo5 0.682 0.682 0.682
Mo6 0.763 0.763 0.763

Results
energy relative to the elements	-33	meV per atom
total moment	0.5	μB per formula unit
energy relative to the lowest polymorph listed for this composition	0.00	eV per formula unit
ρ	9.260	g/cm³

***

## Mn2FeMo (PBE)

Data for an optimized crystal structure of Mn2FeMo.

a = 2.585 Å, b = 3.464 Å, c = 5.384 Å
α = 90.00°, β = 90.00°, γ = 90.00°
Positions (direct):
Mn1 0.000 0.000 0.211
Mn2 0.000 0.000 0.789
Fe1 0.500 0.500 0.000
Mo1 0.500 0.500 0.500

Results
energy relative to the elements	188	meV per atom
total moment	0.0	μB per formula unit
ρ	9.010	g/cm³